Entry 1:
NaGa2Sb2 (PBE, optimized geometry); space-group type = I4/mmm; ΔE_f (raw) = -0.105 eV per atom; uncorrected energy = -3.23 eV/atom
1.0
5.213 0.000 0.000
0.000 5.213 0.000
2.607 2.607 4.852
Ga Sb Na
2 2 1
Direct
0.629 0.629 0.742
0.371 0.371 0.258
0.750 0.250 0.500
0.250 0.750 0.500
0.000 0.000 0.000

***

Entry 2:
Lu2PaZn (PBE, optimized geometry); ΔH_f (0 K) = 198 meV per atom; space-group type = R-3m; uncorrected energy = -4.75 eV/atom
1.0
-2.253 -2.097 0.996
0.881 -2.872 1.200
-0.038 2.715 10.883
Zn Lu Pa
1 2 1
Direct
0.500 0.500 0.500
0.097 0.097 0.710
0.903 0.903 0.290
0.000 0.000 0.000

***

Entry 3:
Ga2CuAgSe4 (PBE, optimized geometry); space-group type = I-4; ΔE_f (raw) = -0.460 eV per atom; uncorrected energy = -3.83 eV/atom
1.0
7.013 0.020 0.000
2.120 6.685 0.000
-4.566 -3.352 4.134
Ag Se Cu Ga
1 4 1 2
Direct
0.250 0.750 0.500
0.857 0.353 0.974
0.117 0.143 0.496
0.647 0.621 0.504
0.379 0.883 0.026
0.000 0.000 0.000
0.750 0.250 0.500
0.500 0.500 0.000

***

Entry 4:
CsCo2OsCl8 (PBE, optimized geometry); space-group type = R-3m; ΔE_f (raw) = -0.616 eV per atom; uncorrected energy = -4.04 eV/atom
1.0
-1.190 -0.380 -6.903
4.924 -2.593 -4.271
-2.299 -9.499 -2.646
Cs Os Cl Co
1 1 8 2
Direct
0.000 0.000 0.000
0.500 0.500 0.500
0.689 0.689 0.934
0.403 0.403 0.338
0.597 0.597 0.662
0.856 0.403 0.338
0.144 0.597 0.662
0.403 0.856 0.338
0.597 0.144 0.662
0.311 0.311 0.066
0.232 0.232 0.305
0.768 0.768 0.695

***

Entry 5:
MgMo2Pt (PBE, optimized geometry); ΔH_f (0 K) = -23 meV per atom; space-group type = C2/m; uncorrected energy = -7.35 eV/atom
1.0
5.485 0.008 0.027
-2.281 4.722 -0.013
0.923 0.692 2.462
Mo Pt Mg
2 1 1
Direct
0.500 0.000 0.500
0.000 0.000 0.000
0.000 0.500 0.500
0.500 0.500 0.000

***

Entry 6:
Tl2In6Ga (PBE, optimized geometry); ΔH_f (0 K) = 46 meV per atom; space-group type = P-31m; uncorrected energy = -2.64 eV/atom
1.0
-2.789 0.637 1.590
1.265 -7.606 5.265
3.455 8.221 2.767
Tl In Ga
2 6 1
Direct
0.500 0.333 0.667
0.500 0.667 0.333
0.811 0.677 0.000
0.189 0.677 0.677
0.189 0.323 0.000
0.189 0.000 0.323
0.811 0.000 0.677
0.811 0.323 0.323
0.000 0.000 0.000